1.
# PBE NpCo2Cl8, optimized geometry
data_NpCo2Cl8
_cell_length_a 18.239
_cell_length_b 8.355
_cell_length_c 12.186
_cell_angle_alpha 90.00
_cell_angle_beta 129.66
_cell_angle_gamma 90.00
_space_group_name_H-M_alt 'C 1 2/c 1'
_space_group_IT_number 15
loop_
_space_group_symop_operation_xyz
'x,y,z'
'-x,-y,-z'
'-x,y,-z+1/2'
'x,-y,z+1/2'
'x+1/2,y+1/2,z'
'-x+1/2,-y+1/2,-z'
'-x+1/2,y+1/2,-z+1/2'
'x+1/2,-y+1/2,z+1/2'
loop_
_atom_site_label
_atom_site_type_symbol
_atom_site_fract_x
_atom_site_fract_y
_atom_site_fract_z
Np1 Np 0.000 0.007 0.250
Co1 Co 0.087 0.247 0.531
Cl1 Cl 0.065 0.229 0.177
Cl2 Cl 0.085 0.223 0.715
Cl3 Cl 0.156 0.026 0.520
Cl4 Cl 0.158 0.463 0.554
# Fermi-level density of states (states/eV/f.u.): 10.04
# Formation energy (no corrections) (eV per atom): -1.005
# VASP energy (eV per cell): -211.9

---

2.
# PBE Np2CoS4Cl, optimized geometry
data_Np2CoS4Cl
_cell_length_a 9.998
_cell_length_b 3.726
_cell_length_c 9.326
_cell_angle_alpha 90.00
_cell_angle_beta 112.24
_cell_angle_gamma 90.00
_space_group_name_H-M_alt 'C 1 2/m 1'
_space_group_IT_number 12
loop_
_space_group_symop_operation_xyz
'x,y,z'
'-x,-y,-z'
'-x,y,-z'
'x,-y,z'
'x+1/2,y+1/2,z'
'-x+1/2,-y+1/2,-z'
'-x+1/2,y+1/2,-z'
'x+1/2,-y+1/2,z'
loop_
_atom_site_label
_atom_site_type_symbol
_atom_site_fract_x
_atom_site_fract_y
_atom_site_fract_z
Np1 Np 0.149 0.000 0.255
Co1 Co 0.000 0.000 0.500
S1 S 0.122 0.500 0.458
S2 S 0.151 0.000 0.761
Cl1 Cl 0.000 0.500 0.000
# Fermi-level density of states (states/eV/f.u.): 16.44
# Formation energy (no corrections) (eV per atom): -1.052
# VASP energy (eV per cell): -119.5

---

3.
# PBE NpTlCoCl6, optimized geometry
data_NpTlCoCl6
_cell_length_a 6.6237
_cell_length_b 6.6237
_cell_length_c 14.6053
_cell_angle_alpha 90.00
_cell_angle_beta 90.00
_cell_angle_gamma 120.00
_space_group_name_H-M_alt 'P -3 1 c'
_space_group_IT_number 163
_space_group_name_Hall '-P 3 2c'
loop_
_atom_site_label
_atom_site_type_symbol
_atom_site_fract_x
_atom_site_fract_y
_atom_site_fract_z
Np1 Np 0.3333 0.6667 0.2500
Tl1 Tl 0.0000 0.0000 0.0000
Co1 Co 0.3333 0.6667 0.7500
Cl1 Cl 0.0216 0.3741 0.6486
# Fermi-level density of states (states/eV/f.u.): 14.33
# Formation energy (no corrections) (eV per atom): -1.188
# VASP energy (eV per cell): -88.4

---

What did the second record say?
# PBE Np2CoS4Cl, optimized geometry
data_Np2CoS4Cl
_cell_length_a 9.998
_cell_length_b 3.726
_cell_length_c 9.326
_cell_angle_alpha 90.00
_cell_angle_beta 112.24
_cell_angle_gamma 90.00
_space_group_name_H-M_alt 'C 1 2/m 1'
_space_group_IT_number 12
loop_
_space_group_symop_operation_xyz
'x,y,z'
'-x,-y,-z'
'-x,y,-z'
'x,-y,z'
'x+1/2,y+1/2,z'
'-x+1/2,-y+1/2,-z'
'-x+1/2,y+1/2,-z'
'x+1/2,-y+1/2,z'
loop_
_atom_site_label
_atom_site_type_symbol
_atom_site_fract_x
_atom_site_fract_y
_atom_site_fract_z
Np1 Np 0.149 0.000 0.255
Co1 Co 0.000 0.000 0.500
S1 S 0.122 0.500 0.458
S2 S 0.151 0.000 0.761
Cl1 Cl 0.000 0.500 0.000
# Fermi-level density of states (states/eV/f.u.): 16.44
# Formation energy (no corrections) (eV per atom): -1.052
# VASP energy (eV per cell): -119.5

---

Question: What is the Fermi-level density of states in the second record?
Answer: 16.44 states/eV/f.u.